1.
The following is a meta-GGA SCAN calculation of a PBEsol-optimized structure of LaMg3, from Alexandria.

Calculated values
- Space group: P-6m2 (187)

a b c (Å): 3.2523 3.2523 11.1735
angles (deg): 90.00 90.00 120.00
Fractional coordinates of all 4 atoms:
Mg  0.0000  0.0000  0.5000
Mg  0.3333  0.6667  0.2673
Mg  0.3333  0.6667  0.7327
La  0.0000  0.0000  0.0000



2.
The following is a meta-GGA SCAN calculation of a PBEsol-optimized structure of LaMg7, from Alexandria.

Calculated values
- Space group: Fm-3m (225)

a b c (Å): 6.6079 6.6079 6.6079
angles (deg): 60.00 60.00 60.00
Fractional coordinates of all 8 atoms:
La  0.0000  0.0000  0.0000
Mg  0.5000  0.5000  0.5000
Mg  0.5000  0.0000  0.0000
Mg  0.5000  0.0000  0.5000
Mg  0.5000  0.5000  0.0000
Mg  0.0000  0.5000  0.0000
Mg  0.0000  0.5000  0.5000
Mg  0.0000  0.0000  0.5000



Results for total DFT energy (no corrections): -14.50 -9.69 (in eV/atom, following the order of the records).